No. 1
## CrH10S2N4O8 (meta-GGA SCAN)

Data for CrH10S2N4O8 at its PBEsol-relaxed geometry.

Unit cell a=5.5153 b=5.6045 c=7.2015 alpha=90.83 beta=103.23 gamma=96.88
With the nearest neighbours (Å) after each atom.
Atoms (fractional coordinates):
H  0.4473  0.8024  0.2941  1 N 1.06
Cr  0.0000  0.0000  0.0000  2 O 2.01, 2 N 2.10
O  0.8594  0.2658  0.1152  1 S 1.51
H  0.7402  0.4434  0.8280  1 N 1.04
N  0.0723  0.8189  0.2560  2 H 1.04-1.05
H  0.7046  0.4058  0.5841  1 N 1.06
O  0.5920  0.7559  0.9026  1 S 1.47
H  0.9169  0.7007  0.2721  1 N 1.05
O  0.1406  0.7342  0.8848  1 S 1.51
N  0.9277  0.1811  0.7440  2 H 1.04-1.05
O  0.4080  0.2441  0.0974  1 S 1.47
N  0.2810  0.6810  0.2848  3 H 1.04-1.06
H  0.2954  0.5942  0.4159  1 N 1.06
O  0.6750  0.0345  0.3445  1 S 1.49
H  0.8865  0.0646  0.6248  1 N 1.04
H  0.5527  0.1976  0.7059  1 N 1.06
O  0.3250  0.9655  0.6555  1 S 1.49
H  0.2598  0.5566  0.1720  1 N 1.04
S  0.6579  0.2508  0.2273  4 O 1.47-1.51
H  0.1135  0.9354  0.3752  1 N 1.04
O  0.2858  0.5289  0.6438  1 S 1.49
O  0.7142  0.4711  0.3562  1 S 1.49
H  0.0831  0.2993  0.7279  1 N 1.05
N  0.7190  0.3190  0.7152  3 H 1.04-1.06
S  0.3421  0.7492  0.7727  4 O 1.47-1.51

Results
For the volume, the calculation gives 8.6 Å³ per atom. Its density is 2.4 g cm⁻³. As for the total energy: -7.3128 eV per atom. Its space group is P-1, No. 2.

No. 2
## CrHSN2 (meta-GGA SCAN)

Data for CrHSN2 at its PBEsol-relaxed geometry.

Unit cell a=3.5036 b=3.5036 c=4.7773 alpha=90.00 beta=90.00 gamma=90.00
With the nearest neighbours (Å) after each atom.
Atoms (fractional coordinates):
S  0.0000  0.0000  0.5000  2 Cr 2.39, 4 H 2.48
Cr  0.0000  0.0000  0.0000  4 N 1.75
H  0.5000  0.5000  0.5000  4 S 2.48
N  0.5000  0.0000  0.0000  2 Cr 1.75
N  0.0000  0.5000  0.0000  2 Cr 1.75

Results
For the volume, the calculation gives 11.7 Å³ per atom. Its density is 3.2 g cm⁻³. As for the total energy: -9.0811 eV per atom. Its space group is P4/mmm, No. 123.

No. 3
## CrHSe2N (meta-GGA SCAN)

Data for CrHSe2N at its PBEsol-relaxed geometry.

Unit cell a=3.4615 b=4.7127 c=4.7127 alpha=90.00 beta=90.00 gamma=90.00
With the nearest neighbours (Å) after each atom.
Atoms (fractional coordinates):
Se  0.0000  0.5000  0.0000  2 Cr 2.36
Cr  0.0000  0.0000  0.0000  2 N 1.73
H  0.5000  0.5000  0.5000  8 Se 2.92
N  0.5000  0.0000  0.0000  2 Cr 1.73
Se  0.0000  0.0000  0.5000  2 Cr 2.36

Results
For the volume, the calculation gives 15.4 Å³ per atom. Its density is 4.9 g cm⁻³. As for the total energy: -13.5247 eV per atom. Its space group is P4/mmm, No. 123.

No. 4
## NaCrH3 (meta-GGA SCAN)

Data for NaCrH3 at its PBEsol-relaxed geometry.

Unit cell a=3.5795 b=3.5795 c=3.5795 alpha=90.00 beta=90.00 gamma=90.00
With the nearest neighbours (Å) after each atom.
Atoms (fractional coordinates):
Cr  0.0000  0.0000  0.0000  6 H 1.79
H  0.0000  0.5000  0.0000  2 Cr 1.79
H  0.5000  0.0000  0.0000  2 Cr 1.79
Na  0.5000  0.5000  0.5000  12 H 2.53
H  0.0000  0.0000  0.5000  2 Cr 1.79

Results
For the volume, the calculation gives 9.2 Å³ per atom. Its density is 2.8 g cm⁻³. As for the total energy: -6.7779 eV per atom. Its space group is Pm-3m, No. 221.

No. 5
## Na3CrH (meta-GGA SCAN)

Data for Na3CrH at its PBEsol-relaxed geometry.

Unit cell a=5.8064 b=5.8064 c=5.8064 alpha=90.00 beta=90.00 gamma=90.00
With the nearest neighbours (Å) after each atom.
Atoms (fractional coordinates):
Na  0.0000  0.5000  0.0000  2 Cr 2.90
Na  0.0000  0.0000  0.5000  2 Cr 2.90
H  0.5000  0.5000  0.5000  12 Na 4.11
Na  0.5000  0.0000  0.0000  2 Cr 2.90
Cr  0.0000  0.0000  0.0000  6 Na 2.90

Results
For the volume, the calculation gives 39.2 Å³ per atom. Its density is 1.0 g cm⁻³. As for the total energy: -6.0028 eV per atom. Its space group is Pm-3m, No. 221.

No. 6
## NaCrH3 (meta-GGA SCAN)

Data for NaCrH3 at its PBEsol-relaxed geometry.

Unit cell a=3.6714 b=3.6714 c=3.6714 alpha=90.00 beta=90.00 gamma=90.00
With the nearest neighbours (Å) after each atom.
Atoms (fractional coordinates):
Na  0.0000  0.0000  0.0000  6 H 1.84
H  0.5000  0.0000  0.0000  2 Na 1.84
H  0.0000  0.0000  0.5000  2 Na 1.84
H  0.0000  0.5000  0.0000  2 Na 1.84
Cr  0.5000  0.5000  0.5000  12 H 2.60

Results
For the volume, the calculation gives 9.9 Å³ per atom. Its density is 2.6 g cm⁻³. As for the total energy: -5.9160 eV per atom. Its space group is Pm-3m, No. 221.

No. 7
## Na2CrH8O8 (meta-GGA SCAN)

Data for Na2CrH8O8 at its PBEsol-relaxed geometry.

Unit cell a=6.1186 b=10.9909 c=12.0308 alpha=90.00 beta=104.85 gamma=90.00
With the nearest neighbours (Å) after each atom.
Atoms (fractional coordinates):
O  0.0058  0.9476  0.1240  2 H 0.99-1.00
O  0.3769  0.7550  0.7106  1 Cr 1.65, 2 H 1.66-1.72
H  0.1004  0.7537  0.6290  1 O 1.00
Na  0.1328  0.1746  0.6088  5 O 2.32-2.37
O  0.7644  0.0916  0.5718  2 H 1.00
O  0.4942  0.4476  0.3760  2 H 0.99-1.00
H  0.0917  0.9964  0.1905  1 O 0.99
O  0.5058  0.5524  0.6240  2 H 0.99-1.00
Na  0.2463  0.9228  0.0034  6 O 2.33-2.50
O  0.6880  0.0130  0.3542  1 Cr 1.63, 1 H 1.68
H  0.2689  0.9379  0.5097  1 O 1.00
O  0.2644  0.4084  0.0718  2 H 1.00
O  0.2613  0.0981  0.2872  1 Cr 1.69, 4 H 1.72-1.80
H  0.9083  0.0036  0.8095  1 O 0.99
O  0.0596  0.2434  0.4179  2 H 1.00
O  0.9825  0.2365  0.1130  2 H 0.99-1.01
O  0.0175  0.7635  0.8870  2 H 0.99-1.01
O  0.4404  0.7434  0.0821  2 H 1.00
Cr  0.0216  0.3947  0.7643  4 O 1.63-1.69
Cr  0.4784  0.8947  0.7357  4 O 1.63-1.69
H  0.3996  0.2537  0.8710  1 O 1.00
H  0.8597  0.8061  0.6284  1 O 1.00
H  0.5917  0.5036  0.6905  1 O 0.99
H  0.4190  0.6917  0.3216  1 O 0.99
H  0.7689  0.5621  0.0097  1 O 1.00
Na  0.7537  0.0772  0.9966  6 O 2.33-2.50
O  0.7613  0.4019  0.7872  1 Cr 1.69, 4 H 1.72-1.80
H  0.0413  0.1287  0.8437  1 O 1.00
H  0.4587  0.6287  0.6563  1 O 1.00
H  0.1403  0.1939  0.3716  1 O 1.00
H  0.9190  0.8083  0.8216  1 O 0.99
O  0.5081  0.0693  0.1316  1 Cr 1.63
H  0.4083  0.4964  0.3095  1 O 0.99
O  0.1880  0.4870  0.8542  1 Cr 1.63, 1 H 1.68
H  0.2511  0.9808  0.3804  1 O 1.00
O  0.9404  0.7566  0.5821  2 H 1.00
H  0.6403  0.3061  0.8716  1 O 1.00
H  0.0835  0.3008  0.0931  1 O 1.01
H  0.7489  0.0192  0.6196  1 O 1.00
O  0.4919  0.9307  0.8684  1 Cr 1.63
O  0.3120  0.9870  0.6458  1 Cr 1.63, 1 H 1.68
O  0.5596  0.2566  0.9179  2 H 1.00
H  0.0810  0.1917  0.1784  1 O 0.99
O  0.8120  0.5130  0.1458  1 Cr 1.63, 1 H 1.68
H  0.5413  0.3713  0.3437  1 O 1.00
H  0.4165  0.8008  0.4069  1 O 1.01
H  0.2489  0.4808  0.1196  1 O 1.00
O  0.5175  0.7365  0.3870  2 H 0.99-1.01
Cr  0.9784  0.6053  0.2357  4 O 1.63-1.69
O  0.2387  0.5981  0.2128  1 Cr 1.69, 4 H 1.72-1.80
H  0.2311  0.4379  0.9903  1 O 1.00
Na  0.8672  0.8254  0.3912  5 O 2.32-2.37
O  0.1231  0.2550  0.7894  1 Cr 1.65, 2 H 1.66-1.72
H  0.5810  0.3083  0.6784  1 O 0.99
O  0.7356  0.5916  0.9282  2 H 1.00
Na  0.7463  0.5772  0.5034  6 O 2.33-2.50
Na  0.6328  0.3254  0.1088  5 O 2.32-2.37
Na  0.2537  0.4228  0.4966  6 O 2.33-2.50
H  0.7511  0.5192  0.8804  1 O 1.00
O  0.7387  0.9019  0.7128  1 Cr 1.69, 4 H 1.72-1.80
O  0.9942  0.0524  0.8760  2 H 0.99-1.00
H  0.9165  0.6992  0.9069  1 O 1.01
Cr  0.5216  0.1053  0.2643  4 O 1.63-1.69
H  0.7311  0.0621  0.4903  1 O 1.00
H  0.9587  0.8713  0.1563  1 O 1.00
O  0.9919  0.5693  0.3684  1 Cr 1.63
H  0.3597  0.6939  0.1284  1 O 1.00
H  0.6004  0.7463  0.1290  1 O 1.00
O  0.8769  0.7450  0.2106  1 Cr 1.65, 2 H 1.66-1.72
H  0.8996  0.2463  0.3710  1 O 1.00
O  0.6231  0.2450  0.2894  1 Cr 1.65, 2 H 1.66-1.72
Na  0.3672  0.6746  0.8912  5 O 2.32-2.37
O  0.2356  0.9084  0.4282  2 H 1.00
H  0.5835  0.1992  0.5931  1 O 1.01
O  0.0081  0.4307  0.6316  1 Cr 1.63
O  0.4825  0.2635  0.6130  2 H 0.99-1.01

Results
For the volume, the calculation gives 10.3 Å³ per atom. Its density is 2.0 g cm⁻³. As for the total energy: -6.9288 eV per atom. Its space group is P2_1/c, No. 14.

No. 8
## NbCr2H (meta-GGA SCAN)

Data for NbCr2H at its PBEsol-relaxed geometry.

Unit cell a=4.1220 b=4.1220 c=4.1220 alpha=60.00 beta=60.00 gamma=60.00
With the nearest neighbours (Å) after each atom.
Atoms (fractional coordinates):
H  0.0000  0.0000  0.0000  8 Cr 2.52
Cr  0.2500  0.2500  0.2500  4 Nb 2.52, 4 H 2.52
Nb  0.5000  0.5000  0.5000  8 Cr 2.52
Cr  0.7500  0.7500  0.7500  4 H 2.52, 4 Nb 2.52

Results
For the volume, the calculation gives 12.4 Å³ per atom. Its density is 6.6 g cm⁻³. As for the total energy: -17.4285 eV per atom. Its space group is Fm-3m, No. 225.

No. 9
## Nb3CrH (meta-GGA SCAN)

Data for Nb3CrH at its PBEsol-relaxed geometry.

Unit cell a=4.1307 b=4.1307 c=4.1307 alpha=90.00 beta=90.00 gamma=90.00
With the nearest neighbours (Å) after each atom.
Atoms (fractional coordinates):
Nb  0.5000  0.0000  0.0000  2 H 2.07
Cr  0.5000  0.5000  0.5000  12 Nb 2.92
H  0.0000  0.0000  0.0000  6 Nb 2.07
Nb  0.0000  0.5000  0.0000  2 H 2.07
Nb  0.0000  0.0000  0.5000  2 H 2.07

Results
For the volume, the calculation gives 14.1 Å³ per atom. Its density is 7.8 g cm⁻³. As for the total energy: -24.1154 eV per atom. Its space group is Pm-3m, No. 221.

No. 10
## NbCr3H (meta-GGA SCAN)

Data for NbCr3H at its PBEsol-relaxed geometry.

Unit cell a=3.7842 b=3.7842 c=3.7842 alpha=90.00 beta=90.00 gamma=90.00
With the nearest neighbours (Å) after each atom.
Atoms (fractional coordinates):
Cr  0.0000  0.5000  0.0000  2 H 1.89
Nb  0.5000  0.5000  0.5000  12 Cr 2.68
Cr  0.0000  0.0000  0.5000  2 H 1.89
H  0.0000  0.0000  0.0000  6 Cr 1.89
Cr  0.5000  0.0000  0.0000  2 H 1.89

Results
For the volume, the calculation gives 10.8 Å³ per atom. Its density is 7.7 g cm⁻³. As for the total energy: -17.9805 eV per atom. Its space group is Pm-3m, No. 221.

No. 11
## Nb2CrH2 (meta-GGA SCAN)

Data for Nb2CrH2 at its PBEsol-relaxed geometry.

Unit cell a=3.0704 b=3.0704 c=5.9870 alpha=104.86 beta=104.86 gamma=90.00
With the nearest neighbours (Å) after each atom.
Atoms (fractional coordinates):
Nb  0.3642  0.3642  0.7285  4 H 2.00
Cr  0.0000  0.0000  0.0000  8 Nb 2.65
Nb  0.6358  0.6358  0.2715  4 H 2.00
H  0.2500  0.7500  0.5000  4 Nb 2.00, 4 H 2.17
H  0.7500  0.2500  0.5000  4 Nb 2.00, 4 H 2.17

Results
For the volume, the calculation gives 10.5 Å³ per atom. Its density is 7.6 g cm⁻³. As for the total energy: -18.4420 eV per atom. Its space group is I4/mmm, No. 139.

No. 12
## Cr2NiH (meta-GGA SCAN)

Data for Cr2NiH at its PBEsol-relaxed geometry.

Unit cell a=3.7829 b=3.7829 c=3.7829 alpha=60.00 beta=60.00 gamma=60.00
With the nearest neighbours (Å) after each atom.
Atoms (fractional coordinates):
Ni  0.5000  0.5000  0.5000  8 Cr 2.32
Cr  0.2500  0.2500  0.2500  4 H 2.32, 4 Ni 2.32
H  0.0000  0.0000  0.0000  8 Cr 2.32
Cr  0.7500  0.7500  0.7500  4 H 2.32, 4 Ni 2.32

Results
For the volume, the calculation gives 9.6 Å³ per atom. Its density is 7.1 g cm⁻³. As for the total energy: -13.3604 eV per atom. Its space group is Fm-3m, No. 225.

Copy entry 4 word for word.
## NaCrH3 (meta-GGA SCAN)

Data for NaCrH3 at its PBEsol-relaxed geometry.

Unit cell a=3.5795 b=3.5795 c=3.5795 alpha=90.00 beta=90.00 gamma=90.00
With the nearest neighbours (Å) after each atom.
Atoms (fractional coordinates):
Cr  0.0000  0.0000  0.0000  6 H 1.79
H  0.0000  0.5000  0.0000  2 Cr 1.79
H  0.5000  0.0000  0.0000  2 Cr 1.79
Na  0.5000  0.5000  0.5000  12 H 2.53
H  0.0000  0.0000  0.5000  2 Cr 1.79

Results
For the volume, the calculation gives 9.2 Å³ per atom. Its density is 2.8 g cm⁻³. As for the total energy: -6.7779 eV per atom. Its space group is Pm-3m, No. 221.